# Dy2PuScS6 PBE optimized geometry
data_Dy2PuScS6
_chemical_formula_sum 'Dy6 Pu3 Sc3 S18'
_cell_length_a 6.8231
_cell_length_b 6.8231
_cell_length_c 18.4038
_cell_angle_alpha 90.00
_cell_angle_beta 90.00
_cell_angle_gamma 120.00
_space_group_name_H-M_alt 'R 3'
_space_group_IT_number 146
_space_group_name_Hall 'R 3'
loop_
_atom_site_label
_atom_site_fract_x
_atom_site_fract_y
_atom_site_fract_z
_atom_site_occupancy
Dy1 0.0000 0.0000 0.0000 1
Dy2 0.0000 0.0000 0.4971 1
Pu1 0.0000 0.0000 0.1994 1
Sc1 0.0000 0.0000 0.6957 1
S1 0.0334 0.3474 0.7655 1
S2 0.0413 0.6683 0.2692 1
# ΔE_f (raw), eV per atom: -1.865
# Total magnetization, Bohr magnetons per cell: 15.00
# Final energy, eV per atom: -7.328